[1]
Computed, not measured: an optimized crystal structure of Sm2ScRh at the PBE-GGA level of DFT.

a = 3.424 Å, b = 3.439 Å, c = 8.583 Å
α = 90.00°, β = 90.00°, γ = 90.00°
Space group Pmm2 (No. 25)
Symmetry-distinct sites (fractional):
1 Sm 0.000 0.000 0.000 (multiplicity 1)
2 Sm 0.500 0.500 0.330 (multiplicity 1)
3 Sc 0.000 0.000 0.626 (multiplicity 1)
4 Rh 0.500 0.500 0.785 (multiplicity 1)

Output
E_tot ... -24.66 eV per formula unit
Distance to the lowest polymorph of the same formula ... 0.000 eV/atom
Formation enthalpy at 0 K ... -0.384 eV per atom
Calculated volume ... 25.27 Å³/atom
DOS(E_F) ... 1.02 states/eV per atom



[2]
Computed, not measured: an optimized crystal structure of Sm2ScRh4 at the PBE-GGA level of DFT.

a = 4.6738 Å, b = 4.6738 Å, c = 22.8364 Å
α = 90.00°, β = 90.00°, γ = 120.00°
Space group R-3m (No. 166, hexagonal axes)
Symmetry-distinct sites (fractional):
1 Sm 0.0000 0.0000 0.2403 (multiplicity 6)
2 Sc 0.0000 0.0000 0.0000 (multiplicity 3)
3 Rh 0.0000 0.0000 0.1164 (multiplicity 6)
4 Rh 0.0000 0.0000 0.3711 (multiplicity 6)

Output
E_tot ... -48.68 eV per formula unit
Formation enthalpy at 0 K ... -0.501 eV per atom
Calculated volume ... 20.57 Å³/atom
DOS(E_F) ... 0.65 states/eV per atom



[3]
Computed, not measured: an optimized crystal structure of SmSc2Rh9 at the PBE-GGA level of DFT.

a = 5.2084 Å, b = 5.2084 Å, c = 25.9238 Å
α = 90.00°, β = 90.00°, γ = 120.00°
Space group R-3m (No. 166, hexagonal axes)
Symmetry-distinct sites (fractional):
1 Sm 0.0000 0.0000 0.0000 (multiplicity 3)
2 Sc 0.0000 0.0000 0.1404 (multiplicity 6)
3 Rh 0.0000 0.0000 0.3335 (multiplicity 6)
4 Rh 0.0000 0.0000 0.5000 (multiplicity 3)
5 Rh 0.0024 0.5012 0.9151 (multiplicity 18)

Output
E_tot ... -89.86 eV per formula unit
Formation enthalpy at 0 K ... -0.526 eV per atom
Calculated volume ... 16.92 Å³/atom
DOS(E_F) ... 1.18 states/eV per atom



[4]
Computed, not measured: an optimized crystal structure of Sm3ScRh8 at the PBE-GGA level of DFT.

a = 5.3438 Å, b = 5.3438 Å, c = 26.1863 Å
α = 90.00°, β = 90.00°, γ = 120.00°
Space group R3m (No. 160, hexagonal axes)
Symmetry-distinct sites (fractional):
1 Sm 0.0000 0.0000 0.0000 (multiplicity 3)
2 Sm 0.0000 0.0000 0.1264 (multiplicity 3)
3 Sm 0.0000 0.0000 0.6225 (multiplicity 3)
4 Sc 0.0000 0.0000 0.4981 (multiplicity 3)
5 Rh 0.0000 0.0000 0.3121 (multiplicity 3)
6 Rh 0.0000 0.0000 0.8124 (multiplicity 3)
7 Rh 0.9997 0.4998 0.5607 (multiplicity 9)
8 Rh 0.0014 0.5007 0.0636 (multiplicity 9)

Output
E_tot ... -87.51 eV per formula unit
Formation enthalpy at 0 K ... -0.685 eV per atom
Calculated volume ... 17.99 Å³/atom
DOS(E_F) ... 0.60 states/eV per atom



[5]
Computed, not measured: an optimized crystal structure of SmSc3Rh4 at the PBE-GGA level of DFT.

a = 4.6541 Å, b = 4.6541 Å, c = 23.0796 Å
α = 90.00°, β = 90.00°, γ = 120.00°
Space group R-3m (No. 166, hexagonal axes)
Symmetry-distinct sites (fractional):
1 Sm 0.0000 0.0000 0.0000 (multiplicity 3)
2 Sc 0.0000 0.0000 0.2459 (multiplicity 6)
3 Sc 0.0000 0.0000 0.5000 (multiplicity 3)
4 Rh 0.0000 0.0000 0.1281 (multiplicity 6)
5 Rh 0.0000 0.0000 0.3802 (multiplicity 6)

Output
E_tot ... -60.41 eV per formula unit
Formation enthalpy at 0 K ... -0.911 eV per atom
Calculated volume ... 18.04 Å³/atom
DOS(E_F) ... 0.42 states/eV per atom



[6]
Computed, not measured: an optimized crystal structure of SmScRh at the PBE-GGA level of DFT.

a = 4.429 Å, b = 4.548 Å, c = 6.953 Å
α = 90.00°, β = 94.41°, γ = 90.00°
Space group P2_1/m (No. 11)
Symmetry-distinct sites (fractional):
1 Sm 0.238 0.250 0.373 (multiplicity 2)
2 Sc 0.258 0.750 0.003 (multiplicity 2)
3 Rh 0.199 0.250 0.776 (multiplicity 2)

Output
E_tot ... -20.28 eV per formula unit
Distance to the lowest polymorph of the same formula ... 0.026 eV/atom
Formation enthalpy at 0 K ... -0.626 eV per atom
Calculated volume ... 23.27 Å³/atom
DOS(E_F) ... 1.23 states/eV per atom